[1]
4
Lattice="1.422 -1.931 0.000 1.422 1.931 0.000 0.000 0.000 8.008" Properties=species:S:1:pos:R:3 comment="CrFe2Cu (GGA-PBEsol, relaxed)" volume_a3_per_atom=10.991 formation_energy_ev_per_atom=0.1469 magmom_total_mub_per_fu=3.931 pbc="T T T"
Cr 0.000 0.000 0.000
Fe 0.000 0.000 3.892
Fe 1.422 0.000 1.944
Cu 1.422 0.000 5.923

---

[2]
5
Lattice="4.541 0.000 0.000 0.000 4.541 0.000 0.000 0.000 4.782" Properties=species:S:1:pos:R:3 comment="TiMn2GeBi (GGA-PBEsol, relaxed)" volume_a3_per_atom=19.721 formation_energy_ev_per_atom=0.4886 magmom_total_mub_per_fu=6.924 pbc="T T T"
Ti 0.000 0.000 0.000
Mn 0.000 2.270 2.391
Mn 2.270 0.000 2.391
Ge 0.000 0.000 2.391
Bi 2.270 2.270 0.000

---

[3]
4
Lattice="1.426 0.824 10.119 -1.426 0.824 10.119 0.000 -1.647 10.119" Properties=species:S:1:pos:R:3 comment="Ag2PtBr (GGA-PBEsol, relaxed)" volume_a3_per_atom=17.829 magmom_total_mub_per_fu=0.000 raw_formation_energy_mev_per_atom=299 de_polymorph_ev_per_fu=0.407 pbc="T T T"
Ag 0.000 0.000 0.000
Ag 0.000 0.000 7.803
Pt 0.000 0.000 15.644
Br 0.000 0.000 22.798

---

[4]
4
Lattice="3.138 0.000 0.000 0.000 3.138 0.000 0.000 0.000 5.307" Properties=species:S:1:pos:R:3 comment="TaNi2Rh (GGA-PBEsol, relaxed)" volume_a3_per_atom=13.067 formation_energy_ev_per_atom=-0.2715 magmom_total_mub_per_fu=0.002 pbc="T T T"
Ta 0.000 0.000 0.000
Ni 0.000 0.000 2.444
Ni 1.569 1.569 1.330
Rh 1.569 1.569 3.890

---

[5]
8
Lattice="-3.340 3.340 5.360 3.340 -3.340 5.360 3.340 3.340 -5.360" Properties=species:S:1:pos:R:3 comment="RbPS2 (GGA-PBEsol, relaxed)" volume_a3_per_atom=29.903 magmom_total_mub_per_fu=0.000 raw_formation_energy_mev_per_atom=-403 pbc="T T T"
Rb 0.000 0.000 0.000
Rb 0.000 3.340 2.680
P 3.340 0.000 2.680
P 0.000 0.000 5.360
S 1.670 -0.685 4.020
S 2.656 1.670 1.340
S 1.670 4.025 -1.340
S 0.685 1.670 6.700

---

[6]
5
Lattice="4.890 0.000 0.000 0.000 4.890 0.000 0.000 0.000 4.890" Properties=species:S:1:pos:R:3 comment="La3MoO (GGA-PBEsol, relaxed)" volume_a3_per_atom=23.391 magmom_total_mub_per_fu=0.539 raw_formation_energy_mev_per_atom=-783 pbc="T T T"
La 0.000 0.000 2.445
La 0.000 2.445 0.000
La 2.445 0.000 0.000
Mo 2.445 2.445 2.445
O 0.000 0.000 0.000

---

[7]
48
Lattice="10.576 0.000 0.000 -5.288 9.159 0.000 0.000 0.000 15.835" Properties=species:S:1:pos:R:3 comment="TbAl3Cl12 (GGA-PBEsol, relaxed)" volume_a3_per_atom=31.956 magmom_total_mub_per_fu=0.000 raw_formation_energy_mev_per_atom=-1688 pbc="T T T"
Tb 0.000 3.200 2.639
Tb -2.517 7.559 13.196
Tb 2.517 7.559 7.917
Al -0.974 5.544 0.000
Al 2.693 0.934 3.667
Al 2.155 1.866 12.168
Al 0.974 5.544 5.278
Al 0.000 7.231 10.557
Al 7.883 0.934 1.611
Al 4.750 6.360 14.223
Al 8.421 1.866 8.945
Al 5.826 6.360 6.890
Cl -0.861 1.660 0.585
Cl -4.281 7.583 15.250
Cl -2.010 4.937 14.047
Cl -2.017 4.950 1.788
Cl -0.305 2.793 8.605
Cl -3.022 7.498 7.230
Cl -0.922 4.592 4.965
Cl -1.773 6.065 10.870
Cl 0.861 1.660 4.694
Cl -3.420 9.075 11.141
Cl 0.305 2.793 12.508
Cl -2.716 8.027 3.327
Cl 2.900 0.989 14.058
Cl 2.307 2.017 1.777
Cl 0.922 4.592 0.313
Cl -0.850 7.662 15.521
Cl 2.010 4.937 7.066
Cl -0.007 8.431 8.769
Cl 2.017 4.950 3.490
Cl 0.007 8.431 12.344
Cl 1.773 6.065 10.243
Cl 0.850 7.662 5.592
Cl 4.402 1.654 4.642
Cl 3.633 2.985 11.192
Cl 6.174 1.654 0.636
Cl 4.520 4.520 15.199
Cl 3.022 7.498 13.883
Cl 2.716 8.027 1.952
Cl 7.676 0.989 7.055
Cl 4.695 6.153 8.780
Cl 6.943 2.985 9.921
Cl 6.056 4.520 5.914
Cl 4.281 7.583 5.863
Cl 3.420 9.075 9.972
Cl 8.269 2.017 3.502
Cl 5.881 6.153 12.333

---

[8]
6
Lattice="2.753 0.000 0.000 0.000 2.753 0.000 0.000 0.000 11.408" Properties=species:S:1:pos:R:3 comment="CuPt5 (GGA-PBEsol, relaxed)" volume_a3_per_atom=14.414 formation_energy_ev_per_atom=-0.0372 magmom_total_mub_per_fu=0.007 pbc="T T T"
Cu 0.000 0.000 0.000
Pt 0.000 0.000 3.743
Pt 0.000 0.000 7.665
Pt 1.377 1.377 1.763
Pt 1.377 1.377 5.704
Pt 1.377 1.377 9.645

---

[9]
5
Lattice="6.350 0.000 0.000 0.000 6.350 0.000 0.000 0.000 6.350" Properties=species:S:1:pos:R:3 comment="K3FeHg (GGA-PBEsol, relaxed)" volume_a3_per_atom=51.212 formation_energy_ev_per_atom=0.8914 magmom_total_mub_per_fu=3.421 pbc="T T T"
K 0.000 0.000 3.175
K 0.000 3.175 0.000
K 3.175 0.000 0.000
Fe 3.175 3.175 3.175
Hg 0.000 0.000 0.000

---

[10]
3
Lattice="3.650 0.000 0.000 -1.825 3.161 0.000 0.000 0.000 3.742" Properties=species:S:1:pos:R:3 comment="BePAu (GGA-PBEsol, relaxed)" volume_a3_per_atom=14.393 formation_energy_ev_per_atom=0.1399 magmom_total_mub_per_fu=0.000 pbc="T T T"
Be 0.000 0.000 0.000
P 0.000 2.107 0.000
Au 1.825 1.054 1.871

---

[11]
5
Lattice="-1.452 1.452 5.569 1.452 -1.452 5.569 1.452 1.452 -5.569" Properties=species:S:1:pos:R:3 comment="Ti2NiH2 (GGA-PBEsol, relaxed)" volume_a3_per_atom=9.393 total_energy_ev_per_atom=-6.323 magmom_total_mub_per_fu=0.002 pbc="T T T"
Ti 0.000 0.000 1.557
Ti 0.000 0.000 9.580
Ni 0.000 0.000 5.569
H 1.452 0.000 2.784
H 0.000 1.452 2.784

---

[12]
12
Lattice="4.772 0.000 0.000 0.000 7.023 0.000 -0.634 0.000 5.307" Properties=species:S:1:pos:R:3 comment="SbAsO4 (GGA-PBEsol, relaxed)" volume_a3_per_atom=14.819 magmom_total_mub_per_fu=0.000 raw_formation_energy_mev_per_atom=-1255 pbc="T T T"
Sb 0.742 1.756 0.889
Sb 3.396 5.267 4.418
As 1.128 5.267 2.078
As 3.009 1.756 3.229
O 0.687 3.944 1.109
O 0.687 6.590 1.109
O 0.522 5.267 3.704
O 1.316 1.756 2.891
O 2.821 5.267 2.416
O 3.615 1.756 1.602
O 3.450 0.433 4.197
O 3.450 3.079 4.197

---

[13]
28
Lattice="10.275 0.000 0.000 0.000 10.275 0.000 0.000 0.000 10.275" Properties=species:S:1:pos:R:3 comment="K3SbTe3 (GGA-PBEsol, relaxed)" volume_a3_per_atom=38.742 magmom_total_mub_per_fu=0.000 raw_formation_energy_mev_per_atom=-737 pbc="T T T"
K 0.792 0.792 0.792
K 1.799 3.338 6.937
K 1.863 7.000 8.412
K 3.275 3.275 3.275
K 3.338 6.937 1.799
K 4.345 9.483 5.930
K 5.930 4.345 9.483
K 6.937 1.799 3.338
K 7.000 8.412 1.863
K 8.412 1.863 7.000
K 8.476 8.476 8.476
K 9.483 5.930 4.345
Sb 0.339 9.936 4.798
Sb 4.798 0.339 9.936
Sb 5.477 5.477 5.477
Sb 9.936 4.798 0.339
Te 0.016 2.316 3.958
Te 1.180 10.259 7.454
Te 2.316 3.958 0.016
Te 2.821 6.317 5.153
Te 3.958 0.016 2.316
Te 5.122 7.959 9.095
Te 5.153 2.821 6.317
Te 6.317 5.153 2.821
Te 7.454 1.180 10.259
Te 7.959 9.095 5.122
Te 9.095 5.122 7.959
Te 10.259 7.454 1.180

---

[14]
5
Lattice="5.970 0.000 0.000 0.000 5.970 0.000 0.000 0.000 4.847" Properties=species:S:1:pos:R:3 comment="La2SbTeP (GGA-PBEsol, relaxed)" volume_a3_per_atom=34.550 magmom_total_mub_per_fu=0.000 raw_formation_energy_mev_per_atom=-324 pbc="T T T"
La 0.000 2.985 0.000
La 2.985 0.000 0.000
Sb 0.000 0.000 0.000
Te 2.985 2.985 2.423
P 0.000 0.000 2.423

---

[15]
8
Lattice="-3.473 3.473 4.480 3.473 -3.473 4.480 3.473 3.473 -4.480" Properties=species:S:1:pos:R:3 comment="RuICl2 (GGA-PBEsol, relaxed)" volume_a3_per_atom=27.014 magmom_total_mub_per_fu=0.002 raw_formation_energy_mev_per_atom=282 pbc="T T T"
Ru 0.000 0.000 0.000
Ru 0.000 3.473 2.240
I 3.473 0.000 2.240
I 0.000 0.000 4.480
Cl 0.806 1.736 1.120
Cl -1.736 2.667 3.360
Cl -0.806 5.209 1.120
Cl 1.736 4.279 3.360

---

[16]
4
Lattice="-1.617 1.949 5.282 1.617 -1.949 5.282 1.617 1.949 -5.282" Properties=species:S:1:pos:R:3 comment="AlRh2Pb (GGA-PBEsol, relaxed)" volume_a3_per_atom=16.653 formation_energy_ev_per_atom=-0.2521 magmom_total_mub_per_fu=0.000 pbc="T T T"
Al 0.000 0.000 0.000
Rh 1.617 0.000 1.827
Rh 0.000 0.000 4.718
Pb 0.000 1.949 2.698

---

[17]
5
Lattice="4.866 0.000 0.000 0.000 4.866 0.000 0.000 0.000 3.723" Properties=species:S:1:pos:R:3 comment="Cd2SiNiB (GGA-PBEsol, relaxed)" volume_a3_per_atom=17.630 magmom_total_mub_per_fu=0.000 raw_formation_energy_mev_per_atom=698 pbc="T T T"
Cd 0.000 2.433 0.000
Cd 2.433 0.000 0.000
Si 0.000 0.000 1.861
Ni 2.433 2.433 0.000
B 2.433 2.433 1.861

---

[18]
4
Lattice="-2.067 2.067 2.907 2.067 -2.067 2.907 2.067 2.067 -2.907" Properties=species:S:1:pos:R:3 comment="MnAlCu2 (GGA-PBEsol, relaxed)" volume_a3_per_atom=12.422 formation_energy_ev_per_atom=-0.0839 magmom_total_mub_per_fu=3.419 pbc="T T T"
Mn 0.000 0.000 0.000
Al 0.000 0.000 2.907
Cu 2.067 0.000 1.453
Cu 0.000 2.067 1.453

---

[19]
4
Lattice="-1.847 1.847 3.629 1.847 -1.847 3.629 1.847 1.847 -3.629" Properties=species:S:1:pos:R:3 comment="ZnCu2Rh (GGA-PBEsol, relaxed)" volume_a3_per_atom=12.386 formation_energy_ev_per_atom=-0.1007 magmom_total_mub_per_fu=0.000 pbc="T T T"
Zn 0.000 0.000 0.000
Cu 1.847 0.000 1.814
Cu 0.000 1.847 1.814
Rh 0.000 0.000 3.629

---

[20]
4
Lattice="3.384 -1.947 0.000 3.384 1.947 0.000 -2.258 0.000 5.733" Properties=species:S:1:pos:R:3 comment="SrSi2Ni (GGA-PBEsol, relaxed)" volume_a3_per_atom=18.887 magmom_total_mub_per_fu=0.000 raw_formation_energy_mev_per_atom=-541 pbc="T T T"
Sr 0.000 0.000 0.000
Si 2.256 0.000 3.507
Si 4.519 0.000 2.257
Ni 0.003 0.000 3.120

---

[21]
4
Lattice="0.000 3.591 3.591 3.591 0.000 3.591 3.591 3.591 0.000" Properties=species:S:1:pos:R:3 comment="SrCaCu2 (GGA-PBEsol, relaxed)" volume_a3_per_atom=23.150 formation_energy_ev_per_atom=0.0688 magmom_total_mub_per_fu=0.000 de_polymorph_ev_per_fu=0.490 pbc="T T T"
Sr 0.000 0.000 0.000
Ca 3.591 3.591 3.591
Cu 1.795 1.795 1.795
Cu 5.386 5.386 5.386

---

[22]
3
Lattice="2.820 0.000 0.000 -1.410 2.442 0.000 0.000 0.000 5.474" Properties=species:S:1:pos:R:3 comment="BeReP (GGA-PBEsol, relaxed)" volume_a3_per_atom=12.564 formation_energy_ev_per_atom=0.0554 magmom_total_mub_per_fu=0.000 de_polymorph_ev_per_fu=1.567 pbc="T T T"
Be 0.000 0.000 0.000
Re 1.410 0.814 1.903
P 0.000 1.628 3.667

---

[23]
4
Lattice="4.061 -1.614 0.000 4.061 1.614 0.000 -1.236 0.000 5.807" Properties=species:S:1:pos:R:3 comment="ZnSbAu2 (GGA-PBEsol, relaxed)" volume_a3_per_atom=19.028 magmom_total_mub_per_fu=0.000 raw_formation_energy_mev_per_atom=-59 de_polymorph_ev_per_fu=0.000 pbc="T T T"
Zn 0.000 0.000 0.000
Sb 3.444 0.000 2.903
Au 1.138 0.000 4.601
Au 5.749 0.000 1.206

---

[24]
9
Lattice="-4.719 4.719 2.296 4.719 -4.719 2.296 4.719 4.719 -2.296" Properties=species:S:1:pos:R:3 comment="Cd5In4 (GGA-PBEsol, relaxed)" volume_a3_per_atom=22.726 formation_energy_ev_per_atom=0.0274 magmom_total_mub_per_fu=0.000 pbc="T T T"
Cd 0.000 0.000 0.000
Cd 3.176 3.176 0.000
Cd 1.543 -1.543 2.296
Cd -1.543 1.543 2.296
Cd 1.543 1.543 2.296
In 3.083 0.000 0.000
In 6.354 0.000 0.000
In 0.000 3.083 0.000
In 0.000 6.354 0.000

---

[25]
4
Lattice="1.829 1.056 12.235 -1.829 1.056 12.235 0.000 -2.112 12.235" Properties=species:S:1:pos:R:3 comment="CaLa3 (GGA-PBEsol, relaxed)" volume_a3_per_atom=35.451 formation_energy_ev_per_atom=0.0339 magmom_total_mub_per_fu=0.000 pbc="T T T"
Ca 0.000 0.000 0.000
La 0.000 0.000 9.028
La 0.000 0.000 18.353
La 0.000 0.000 27.677